(1)
ZnFeSe2 (PBE-GGA, relaxed); uncorrected formation energy = -63 kJ/mol of formula units; space group = I-42d (122)
1.0
-2.7820 2.7820 5.4332
2.7820 -2.7820 5.4332
2.7820 2.7820 -5.4332
Zn Fe Se
2 2 4
Cartesian
0.0000 0.0000 0.0000
0.0000 2.7820 2.7166
2.7820 0.0000 2.7166
0.0000 0.0000 5.4332
1.3910 -1.2146 4.0749
1.5674 1.3910 1.3583
1.3910 3.9966 -1.3583
1.2146 1.3910 6.7915


(2)
ZnFeSe2 (PBE-GGA, relaxed); uncorrected formation energy = 38 kJ/mol of formula units; space group = Immm (71)
1.0
-1.7367 3.6164 3.8302
1.7367 -3.6164 3.8302
1.7367 3.6164 -3.8302
Zn Fe Se
1 1 2
Cartesian
0.0000 0.0000 0.0000
0.0000 3.6164 0.0000
1.7367 1.9021 0.0000
0.0000 1.7143 3.8302


(3)
ZnFe2Se (PBE-GGA, relaxed); uncorrected formation energy = 90 kJ/mol of formula units; space group = P2/m (10); relative energy among the computed polymorphs = 0.157 eV per atom
1.0
2.8018 0.0000 0.0000
0.0000 3.6529 0.0000
-0.0217 0.0000 5.9006
Zn Fe Se
1 2 1
Cartesian
0.0000 0.0000 0.0000
1.3772 1.8264 4.6707
1.4029 1.8264 1.2300
1.3901 0.0000 2.9503


(4)
ZnFeSe2 (PBE-GGA, relaxed); uncorrected formation energy = 16 kJ/mol of formula units; space group = R3m (160)
1.0
1.5180 0.8764 9.3664
-1.5180 0.8764 9.3664
0.0000 -1.7528 9.3664
Zn Fe Se
1 1 2
Cartesian
0.0000 0.0000 0.0000
0.0000 0.0000 20.6793
0.0000 0.0000 7.1667
0.0000 0.0000 12.7904


(5)
ZnFe2Se (PBE-GGA, relaxed); uncorrected formation energy = 65 kJ/mol of formula units; space group = Pm (6); relative energy among the computed polymorphs = 0.093 eV per atom
1.0
3.0329 0.0000 0.0000
0.0000 3.9266 0.0000
-1.5074 0.0000 5.5082
Zn Fe Se
1 2 1
Cartesian
0.0000 0.0000 0.0000
0.0012 1.9633 1.7975
1.5184 0.0000 2.0127
1.5193 1.9633 3.6651


(6)
ZnFeSe2 (PBE-GGA, relaxed); uncorrected formation energy = 66 kJ/mol of formula units; space group = Pmmm (47)
1.0
2.9584 0.0000 0.0000
0.0000 3.0086 0.0000
0.0000 0.0000 8.2315
Zn Fe Se
1 1 2
Cartesian
0.0000 0.0000 0.0000
0.0000 0.0000 4.1157
1.4792 1.5043 2.5927
1.4792 1.5043 5.6388